Density functional theory data (GGA-PBE) for a geometry-optimized Cd2Cu3 structure.

a = 4.3555 Å, b = 4.3555 Å, c = 5.4349 Å
α = 90.00°, β = 90.00°, γ = 120.00°
Closest atoms and distances in Å follow each position.
Element x y z (fractional)
Cd: 0.6667 0.3333 0.1720  8 Cu 2.60-2.84
Cd: 0.3333 0.6667 0.8280  8 Cu 2.60-2.84
Cu: 0.6667 0.3333 0.6503  5 Cd 2.60-2.84
Cu: 0.0000 0.0000 0.0000  6 Cd 2.68
Cu: 0.3333 0.6667 0.3497  5 Cd 2.60-2.84

Output
Volume: 17.86 Å³ per atom
SG: P-3m1
Energy relative to the lowest polymorph listed for this composition: 267 meV/atom
DOS(E_F): 0.4497 states/eV/atom
Formation enthalpy at 0 K: 0.32 eV/atom